Entry 1:
A geometry-optimized Pa2AlCo4 structure. Source: the Alexandria database, functional PBE.

abc: 4.5226 4.6096 6.3428
angles: 102.11 92.96 109.66
Closest atoms and distances in Å follow each position.
Space group P-1 (No. 2)
Asymmetric unit:
1 Pa 0.0124 0.1708 0.2861 [2 per cell]  2 Co 2.33-2.61
2 Al 0.5000 0.5000 0.0000 [1 per cell]  4 Co 2.26-2.30
3 Co 0.0000 0.5000 0.0000 [1 per cell]  2 Al 2.26, 2 Co 2.47
4 Co 0.3056 0.8591 0.3473 [2 per cell]  1 Pa 2.33, 3 Co 2.36-2.54
5 Co 0.5000 0.0000 0.0000 [1 per cell]  2 Al 2.30, 2 Co 2.54

## Properties
**Final energy**: -7.523 eV per atom
**Formation energy from the elements**: -0.21 eV/atom
**Polymorph energy (0 for the lowest one)**: 7 meV/atom

Entry 2:
A geometry-optimized Pr2Zn2Au3 structure. Source: the Alexandria database, functional PBE.

abc: 4.2207 19.8499 7.5533
angles: 90.00 90.00 90.00
Closest atoms and distances in Å follow each position.
Space group Cmcm (No. 63)
Asymmetric unit:
1 Pr 0.0000 0.0573 0.2500 [4 per cell]  9 Au 3.16-3.52
2 Pr 0.0000 0.1573 0.7500 [4 per cell]  6 Au 3.14, 6 Zn 3.22-3.34
3 Zn 0.0000 0.3089 0.5595 [8 per cell]  4 Au 2.64-2.87, 1 Zn 2.88
4 Au 0.0000 0.2252 0.2500 [4 per cell]  6 Zn 2.64-2.87
5 Au 0.0000 0.4348 0.0602 [8 per cell]  1 Zn 2.66, 2 Au 2.74-2.87

## Properties
**Final energy**: -3.757 eV per atom
**Formation energy from the elements**: -0.62 eV/atom
**Polymorph energy (0 for the lowest one)**: 0 meV/atom

Entry 3:
A geometry-optimized MgFeOs structure. Source: the Alexandria database, functional PBE.

abc: 3.9250 11.2446 3.8978
angles: 90.00 90.00 90.00
Closest atoms and distances in Å follow each position.
Space group Cmmm (No. 65)
Asymmetric unit:
1 Mg 0.0000 0.0000 0.0000 [2 per cell]  4 Mg 2.77, 4 Os 2.82, 4 Fe 2.86
2 Mg 0.0000 0.5000 0.5000 [2 per cell]  4 Mg 2.77, 4 Os 2.81, 4 Fe 2.87
3 Fe 0.0000 0.1867 0.5000 [4 per cell]  2 Fe 2.42, 2 Os 2.46
4 Os 0.0000 0.3202 0.0000 [4 per cell]  2 Fe 2.46, 2 Os 2.52

## Properties
**Final energy**: -6.880 eV per atom
**Formation energy from the elements**: 0.22 eV/atom
**Polymorph energy (0 for the lowest one)**: 81 meV/atom

Entry 4:
A geometry-optimized TaBe2Au structure. Source: the Alexandria database, functional PBE.

abc: 3.6880 3.0527 9.1992
angles: 90.00 90.00 90.00
Closest atoms and distances in Å follow each position.
Space group Amm2 (No. 38)
Asymmetric unit:
1 Ta 0.0000 0.0000 0.0000 [2 per cell]  7 Be 2.52-2.56
2 Be 0.0000 0.0000 0.2785 [2 per cell]  2 Be 2.23, 4 Au 2.49
3 Be 0.5000 0.0000 0.4144 [2 per cell]  2 Be 2.23, 2 Au 2.47
4 Au 0.5000 0.0000 0.7033 [2 per cell]  7 Be 2.47-2.66

## Properties
**Final energy**: -5.681 eV per atom
**Formation energy from the elements**: -0.04 eV/atom
**Polymorph energy (0 for the lowest one)**: 37 meV/atom

Entry 5:
A geometry-optimized KLiNb2 structure. Source: the Alexandria database, functional PBE.

abc: 6.9073 6.9073 6.9073
angles: 90.00 90.00 90.00
Closest atoms and distances in Å follow each position.
Space group Fm-3m (No. 225)
Asymmetric unit:
1 K 0.0000 0.0000 0.0000 [4 per cell]  8 Nb 2.99
2 Li 0.0000 0.0000 0.5000 [4 per cell]  8 Nb 2.99
3 Nb 0.2500 0.2500 0.2500 [8 per cell]  4 K 2.99, 4 Li 2.99

## Properties
**Final energy**: -4.063 eV per atom
**Formation energy from the elements**: 1.72 eV/atom
**Polymorph energy (0 for the lowest one)**: 685 meV/atom

Entry 6:
A geometry-optimized ScPtW2 structure. Source: the Alexandria database, functional PBE.

abc: 10.0904 2.9742 4.6611
angles: 90.00 103.14 90.00
Closest atoms and distances in Å follow each position.
Space group C2/m (No. 12)
Asymmetric unit:
1 Sc 0.0000 0.0000 0.0000 [2 per cell]  4 Pt 2.76, 6 W 2.95-3.02, 2 Sc 2.97
2 Pt 0.0000 0.5000 0.5000 [2 per cell]  4 Sc 2.76, 6 W 2.85-3.07, 2 Pt 2.97
3 W 0.2403 0.0000 0.7389 [4 per cell]  6 W 2.72-2.97, 2 Pt 2.85, 3 Sc 2.95-3.02

## Properties
**Final energy**: -9.678 eV per atom
**Formation energy from the elements**: -0.11 eV/atom

Entry 7:
A geometry-optimized BaY2Ta structure. Source: the Alexandria database, functional PBE.

abc: 3.3464 3.3464 11.1328
angles: 90.00 90.00 90.00
Closest atoms and distances in Å follow each position.
Space group P4mm (No. 99)
Asymmetric unit:
1 Ba 0.0000 0.0000 0.0000 [1 per cell]  4 Ba 3.35, 4 Ta 3.66
2 Y 0.0000 0.0000 0.4389 [1 per cell]  4 Ta 3.16, 4 Y 3.35
3 Y 0.5000 0.5000 0.6962 [1 per cell]  8 Y 3.35-3.71
4 Ta 0.5000 0.5000 0.2503 [1 per cell]  4 Y 3.16, 4 Ta 3.35

## Properties
**Final energy**: -6.089 eV per atom
**Formation energy from the elements**: 0.59 eV/atom
**Polymorph energy (0 for the lowest one)**: 208 meV/atom

Entry 8:
A geometry-optimized BaNaNbCo2 structure. Source: the Alexandria database, functional PBE.

abc: 4.8822 4.8822 5.1476
angles: 90.00 90.00 90.00
Closest atoms and distances in Å follow each position.
Space group P4/mmm (No. 123)
Asymmetric unit:
1 Ba 0.0000 0.0000 0.0000 [1 per cell]  4 Co 2.44, 2 Na 2.57
2 Na 0.0000 0.0000 0.5000 [1 per cell]  2 Ba 2.57
3 Nb 0.5000 0.5000 0.5000 [1 per cell]  4 Na 3.45, 8 Co 3.55
4 Co 0.0000 0.5000 0.0000 [2 per cell]  2 Ba 2.44

## Properties
**Final energy**: -3.395 eV per atom
**Formation energy from the elements**: 2.11 eV/atom
**Polymorph energy (0 for the lowest one)**: 177 meV/atom

Q: Which of these has the highest formation energy from the elements?
A: BaNaNbCo2